Entry 1:
This record from Alexandria via LeMat-Bulk describes an optimized crystal structure of MgMn2P. The functional is PBE.

Cell: 2.898 2.898 6.152 Å, 90.00 90.00 89.98°
Site moments in Bohr magnetons follow the coordinates.
Fractional positions:
1 Mg 0.500 0.500 0.750  -0.02
2 Mn 0.000 0.000 0.054  1.37
3 Mn 0.000 0.000 0.446  1.37
4 P 0.500 0.500 0.250  -0.11

Total energy = -6.392 eV/atom
Energy of formation = -1.3 kcal/mol of atoms
Density of states at the Fermi level = 3.3 states/eV/cell
Size of the total moment = 2.7 μB/f.u.

---

Entry 2:
This record from Alexandria via LeMat-Bulk describes an optimized crystal structure of GaTc2O. The functional is PBE.

Cell: 6.518 6.518 5.263 Å, 51.74 51.74 90.00°
Fractional positions:
1 O 0.500 0.500 0.000
2 O 0.250 0.750 0.500
3 Tc 0.533 0.125 0.250
4 Tc 0.217 0.625 0.250
5 Tc 0.375 0.467 0.750
6 Tc 0.875 0.783 0.750
7 Ga 0.000 0.000 0.000
8 Ga 0.750 0.250 0.500

Formation energy without anion corrections = -31 meV/atom
Total energy = -7.211 eV/atom
Density of states at the Fermi level = 13.6 states/eV/cell
Size of the total moment = 0.0 μB/f.u.
Polymorph energy (0 for the lowest one) = 0.0000 eV/atom

---

Entry 3:
This record from Alexandria via LeMat-Bulk describes an optimized crystal structure of RbCd2Br2. The functional is PBE.

Cell: 9.421 9.421 5.332 Å, 90.00 90.00 90.00°
Fractional positions:
1 Br 0.202 0.702 0.000
2 Br 0.702 0.798 0.000
3 Br 0.798 0.298 0.000
4 Br 0.298 0.202 0.000
5 Rb 0.000 0.000 0.000
6 Rb 0.500 0.500 0.000
7 Cd 0.106 0.606 0.500
8 Cd 0.606 0.894 0.500
9 Cd 0.894 0.394 0.500
10 Cd 0.394 0.106 0.500

Formation energy without anion corrections = -664 meV/atom
Total energy = -1.893 eV/atom
Density of states at the Fermi level = 1.5 states/eV/cell
Size of the total moment = 0.0 μB/f.u.
Polymorph energy (0 for the lowest one) = 0.1066 eV/atom

---

Entry 4:
This record from Alexandria via LeMat-Bulk describes an optimized crystal structure of Te3IBr. The functional is PBE.

Cell: 5.656 5.656 5.656 Å, 90.00 90.00 90.00°
Fractional positions:
1 I 0.500 0.500 0.500
2 Te 0.000 0.500 0.000
3 Te 0.000 0.000 0.500
4 Te 0.500 0.000 0.000
5 Br 0.000 0.000 0.000

Formation energy without anion corrections = 797 meV/atom
Total energy = -1.732 eV/atom
Density of states at the Fermi level = 5.8 states/eV/cell
Size of the total moment = 0.0 μB/f.u.
Polymorph energy (0 for the lowest one) = 0.0000 eV/atom

---

Entry 5:
This record from Alexandria via LeMat-Bulk describes an optimized crystal structure of LiPr2Ni16. The functional is PBE.

Cell: 6.320 6.320 6.320 Å, 83.41 83.41 83.41°
Site moments in Bohr magnetons follow the coordinates.
Fractional positions:
1 Li 0.906 0.906 0.906  -0.02
2 Pr 0.658 0.658 0.658  -0.07
3 Pr 0.340 0.340 0.340  -0.07
4 Ni 0.708 0.000 0.292  0.45
5 Ni 0.000 0.292 0.708  0.45
6 Ni 0.292 0.708 0.000  0.45
7 Ni 0.000 0.708 0.292  0.45
8 Ni 0.708 0.292 0.000  0.45
9 Ni 0.292 0.000 0.708  0.45
10 Ni 0.342 0.847 0.342  0.40
11 Ni 0.847 0.342 0.342  0.40
12 Ni 0.342 0.342 0.847  0.40
13 Ni 0.657 0.154 0.657  0.42
14 Ni 0.154 0.657 0.657  0.42
15 Ni 0.657 0.657 0.154  0.42
16 Ni 0.002 0.495 0.002  0.47
17 Ni 0.495 0.002 0.002  0.47
18 Ni 0.002 0.002 0.495  0.47
19 Ni 0.096 0.096 0.096  0.44

Total energy = -5.640 eV/atom
Energy of formation = -3.9 kcal/mol of atoms
Density of states at the Fermi level = 24.0 states/eV/cell
Size of the total moment = 6.3 μB/f.u.

---

Entry 6:
This record from Alexandria via LeMat-Bulk describes an optimized crystal structure of CaAuSe2. The functional is PBE.

Cell: 4.771 4.845 3.707 Å, 90.00 90.00 90.00°
Fractional positions:
1 Ca 0.000 0.500 0.500
2 Au 0.500 0.000 0.500
3 Se 0.000 0.000 0.000
4 Se 0.500 0.500 0.000

Formation energy without anion corrections = -702 meV/atom
Total energy = -3.764 eV/atom
Density of states at the Fermi level = 2.4 states/eV/cell
Size of the total moment = 0.0 μB/f.u.
Polymorph energy (0 for the lowest one) = 0.2050 eV/atom

---

Entry 7:
This record from Alexandria via LeMat-Bulk describes an optimized crystal structure of KGe2Pd2. The functional is PBE.

Cell: 4.618 4.618 6.058 Å, 103.82 103.82 102.85°
Fractional positions:
1 K 0.000 0.000 0.000
2 Ge 0.624 0.624 0.342
3 Ge 0.376 0.376 0.658
4 Pd 0.206 0.794 0.500
5 Pd 0.794 0.206 0.500

Total energy = -4.528 eV/atom
Energy of formation = -8.9 kcal/mol of atoms
Density of states at the Fermi level = 1.7 states/eV/cell
Size of the total moment = 0.0 μB/f.u.
Polymorph energy (0 for the lowest one) = 0.0000 eV/atom

---

Entry 8:
This record from Alexandria via LeMat-Bulk describes an optimized crystal structure of RbHPb. The functional is PBE.

Cell: 3.868 8.249 10.709 Å, 90.00 90.00 90.00°
Fractional positions:
1 Rb 0.500 0.000 0.153
2 Rb 0.500 0.500 0.653
3 Rb 0.500 0.000 0.728
4 Rb 0.500 0.500 0.228
5 H 0.000 0.725 0.767
6 H 0.000 0.275 0.767
7 H 0.000 0.225 0.267
8 H 0.000 0.775 0.267
9 Pb 0.000 0.310 0.946
10 Pb 0.000 0.690 0.946
11 Pb 0.000 0.810 0.446
12 Pb 0.000 0.190 0.446

Total energy = -2.757 eV/atom
Density of states at the Fermi level = 2.1 states/eV/cell
Size of the total moment = 0.0 μB/f.u.
Polymorph energy (0 for the lowest one) = 0.0428 eV/atom